Density functional theory data (PBE) for crystalline NdScAgSn at its relaxed geometry.

Properties
D(E_F): 0.93 states/eV/atom
final energy: -4.9514 eV/atom
formation energy: -0.463 eV per atom

CIF file:
```
data_NdScAgSn
_symmetry_space_group_name_H-M 'F -4 3 m'
_symmetry_Int_Tables_number 216
_symmetry_space_group_name_Hall 'F -4 2 3'
_cell_length_a 7.3403
_cell_length_b 7.3403
_cell_length_c 7.3403
_cell_angle_alpha 90.00
_cell_angle_beta 90.00
_cell_angle_gamma 90.00
loop_
_atom_site_label
_atom_site_type_symbol
_atom_site_fract_x
_atom_site_fract_y
_atom_site_fract_z
Nd1 Nd 0.0000 0.0000 0.0000
Sc1 Sc 0.0000 0.0000 0.5000
Ag1 Ag 0.2500 0.2500 0.2500
Sn1 Sn 0.2500 0.2500 0.7500
```

***

Density functional theory data (PBE) for crystalline TbNdScAg at its relaxed geometry.

Properties
energy relative to the lowest polymorph listed for this composition: 0.1408 eV per atom
D(E_F): 1.08 states/eV/atom
final energy: -4.6075 eV/atom
formation energy: 0.038 eV per atom

CIF file:
```
data_TbNdScAg
_symmetry_space_group_name_H-M 'F -4 3 m'
_symmetry_Int_Tables_number 216
_symmetry_space_group_name_Hall 'F -4 2 3'
_cell_length_a 7.5515
_cell_length_b 7.5515
_cell_length_c 7.5515
_cell_angle_alpha 90.00
_cell_angle_beta 90.00
_cell_angle_gamma 90.00
loop_
_atom_site_label
_atom_site_type_symbol
_atom_site_fract_x
_atom_site_fract_y
_atom_site_fract_z
Tb1 Tb 0.0000 0.0000 0.0000
Nd1 Nd 0.0000 0.0000 0.5000
Sc1 Sc 0.2500 0.2500 0.2500
Ag1 Ag 0.2500 0.2500 0.7500
```

***

Density functional theory data (PBE) for crystalline TbNdScAg at its relaxed geometry.

Properties
energy relative to the lowest polymorph listed for this composition: 0.0000 eV per atom
D(E_F): 1.52 states/eV/atom
final energy: -4.7483 eV/atom
formation energy: -0.103 eV per atom

CIF file:
```
data_TbNdScAg
_symmetry_space_group_name_H-M 'P 4 m m'
_symmetry_Int_Tables_number 99
_symmetry_space_group_name_Hall 'P 4 -2'
_cell_length_a 3.5686
_cell_length_b 3.5686
_cell_length_c 8.4693
_cell_angle_alpha 90.00
_cell_angle_beta 90.00
_cell_angle_gamma 90.00
loop_
_atom_site_label
_atom_site_type_symbol
_atom_site_fract_x
_atom_site_fract_y
_atom_site_fract_z
Tb1 Tb 0.0000 0.0000 0.0000
Nd1 Nd 0.5000 0.5000 0.3084
Sc1 Sc 0.0000 0.0000 0.5892
Ag1 Ag 0.5000 0.5000 0.7709
```

***

Density functional theory data (PBE) for crystalline Nd2ScAgTe5 at its relaxed geometry.

Properties
formation energy without anion corrections: -1.14 eV per atom
D(E_F): 0.01 states/eV/atom
final energy: -4.9604 eV/atom

CIF file:
```
data_Nd2ScAgTe5
_symmetry_space_group_name_H-M 'C m c 21'
_symmetry_Int_Tables_number 36
_symmetry_space_group_name_Hall 'C 2c -2'
_cell_length_a 4.3415
_cell_length_b 18.8231
_cell_length_c 13.1038
_cell_angle_alpha 90.00
_cell_angle_beta 90.00
_cell_angle_gamma 90.00
loop_
_atom_site_label
_atom_site_type_symbol
_atom_site_fract_x
_atom_site_fract_y
_atom_site_fract_z
Nd1 Nd 0.0000 0.1117 0.0000
Nd2 Nd 0.0000 0.1270 0.6170
Sc1 Sc 0.0000 0.1899 0.3227
Ag1 Ag 0.0000 0.4281 0.7698
Te1 Te 0.0000 0.0454 0.3874
Te2 Te 0.0000 0.2853 0.9734
Te3 Te 0.0000 0.3024 0.6569
Te4 Te 0.0000 0.3507 0.3117
Te5 Te 0.0000 0.4978 0.0905
```

***

Density functional theory data (PBE) for crystalline NdThScAg at its relaxed geometry.

Properties
D(E_F): 1.25 states/eV/atom
final energy: -5.4518 eV/atom
formation energy: -0.109 eV per atom

CIF file:
```
data_NdThScAg
_symmetry_space_group_name_H-M 'P 4 m m'
_symmetry_Int_Tables_number 99
_symmetry_space_group_name_Hall 'P 4 -2'
_cell_length_a 3.5872
_cell_length_b 3.5872
_cell_length_c 8.3338
_cell_angle_alpha 90.00
_cell_angle_beta 90.00
_cell_angle_gamma 90.00
loop_
_atom_site_label
_atom_site_type_symbol
_atom_site_fract_x
_atom_site_fract_y
_atom_site_fract_z
Nd1 Nd 0.0000 0.0000 0.0000
Th1 Th 0.5000 0.5000 0.2994
Sc1 Sc 0.0000 0.0000 0.5643
Ag1 Ag 0.5000 0.5000 0.7501
```

***

Density functional theory data (PBE) for crystalline NdScZnAg at its relaxed geometry.

Properties
energy relative to the lowest polymorph listed for this composition: 0.0333 eV per atom
D(E_F): 0.93 states/eV/atom
final energy: -4.0597 eV/atom
formation energy: -0.254 eV per atom

CIF file:
```
data_NdScZnAg
_symmetry_space_group_name_H-M 'F -4 3 m'
_symmetry_Int_Tables_number 216
_symmetry_space_group_name_Hall 'F -4 2 3'
_cell_length_a 7.1525
_cell_length_b 7.1525
_cell_length_c 7.1525
_cell_angle_alpha 90.00
_cell_angle_beta 90.00
_cell_angle_gamma 90.00
loop_
_atom_site_label
_atom_site_type_symbol
_atom_site_fract_x
_atom_site_fract_y
_atom_site_fract_z
Nd1 Nd 0.0000 0.0000 0.0000
Sc1 Sc 0.0000 0.0000 0.5000
Zn1 Zn 0.2500 0.2500 0.2500
Ag1 Ag 0.2500 0.2500 0.7500
```

***

Density functional theory data (PBE) for crystalline NdScZnAg at its relaxed geometry.

Properties
energy relative to the lowest polymorph listed for this composition: 0.0000 eV per atom
D(E_F): 1.04 states/eV/atom
final energy: -4.0930 eV/atom
formation energy: -0.287 eV per atom

CIF file:
```
data_NdScZnAg
_symmetry_space_group_name_H-M 'P 4 m m'
_symmetry_Int_Tables_number 99
_symmetry_space_group_name_Hall 'P 4 -2'
_cell_length_a 3.5157
_cell_length_b 3.5157
_cell_length_c 7.2665
_cell_angle_alpha 90.00
_cell_angle_beta 90.00
_cell_angle_gamma 90.00
loop_
_atom_site_label
_atom_site_type_symbol
_atom_site_fract_x
_atom_site_fract_y
_atom_site_fract_z
Nd1 Nd 0.0000 0.0000 0.0000
Sc1 Sc 0.0000 0.0000 0.5182
Zn1 Zn 0.5000 0.5000 0.7232
Ag1 Ag 0.5000 0.5000 0.3005
```

***

Density functional theory data (PBE) for crystalline Nd2Ag4Se5 at its relaxed geometry.

Properties
formation energy without anion corrections: -0.74 eV per atom
D(E_F): 0.39 states/eV/atom
final energy: -4.2305 eV/atom

CIF file:
```
data_Nd2Ag4Se5
_symmetry_space_group_name_H-M 'R -3 m'
_symmetry_Int_Tables_number 166
_symmetry_space_group_name_Hall '-R 3 2"'
_cell_length_a 4.3132
_cell_length_b 4.3132
_cell_length_c 54.1243
_cell_angle_alpha 90.00
_cell_angle_beta 90.00
_cell_angle_gamma 120.00
loop_
_atom_site_label
_atom_site_type_symbol
_atom_site_fract_x
_atom_site_fract_y
_atom_site_fract_z
Nd1 Nd 0.0000 0.0000 0.1345
Ag1 Ag 0.0000 0.0000 0.3113
Ag2 Ag 0.0000 0.0000 0.4145
Se1 Se 0.0000 0.0000 0.2292
Se2 Se 0.0000 0.0000 0.3670
Se3 Se 0.0000 0.0000 0.5000
```

***

Density functional theory data (PBE) for crystalline Nd3Ag5Se12 at its relaxed geometry.

Properties
formation energy without anion corrections: -0.55 eV per atom
D(E_F): 0.87 states/eV/atom
final energy: -4.0654 eV/atom

CIF file:
```
data_Nd3Ag5Se12
_symmetry_space_group_name_H-M 'I a -3 d'
_symmetry_Int_Tables_number 230
_symmetry_space_group_name_Hall '-I 4bd 2c 3'
_cell_length_a 16.3062
_cell_length_b 16.3062
_cell_length_c 16.3062
_cell_angle_alpha 90.00
_cell_angle_beta 90.00
_cell_angle_gamma 90.00
loop_
_atom_site_label
_atom_site_type_symbol
_atom_site_fract_x
_atom_site_fract_y
_atom_site_fract_z
Nd1 Nd 0.0000 0.2500 0.1250
Ag1 Ag 0.0000 0.0000 0.0000
Ag2 Ag 0.0000 0.2500 0.3750
Se1 Se 0.0188 0.0623 0.6499
```

***

Density functional theory data (PBE) for crystalline Nd5AgSe4 at its relaxed geometry.

Properties
formation energy without anion corrections: -1.51 eV per atom
D(E_F): 0.63 states/eV/atom
final energy: -5.5713 eV/atom

CIF file:
```
data_Nd5AgSe4
_symmetry_space_group_name_H-M 'C 1 2/m 1'
_symmetry_Int_Tables_number 12
_symmetry_space_group_name_Hall '-C 2y'
_cell_length_a 14.2438
_cell_length_b 4.2180
_cell_length_c 10.4782
_cell_angle_alpha 90.00
_cell_angle_beta 120.03
_cell_angle_gamma 90.00
loop_
_atom_site_label
_atom_site_type_symbol
_atom_site_fract_x
_atom_site_fract_y
_atom_site_fract_z
Nd1 Nd 0.0000 0.0000 0.0000
Nd2 Nd 0.1043 0.5000 0.3956
Nd3 Nd 0.2028 0.0000 0.8052
Ag1 Ag 0.0000 0.0000 0.5000
Se1 Se 0.0992 0.5000 0.9002
Se2 Se 0.2021 0.0000 0.2986
```

***

Density functional theory data (PBE) for crystalline NdAgSe2 at its relaxed geometry.

Properties
formation energy without anion corrections: -1.08 eV per atom
final energy: -4.7248 eV/atom

CIF file:
```
data_NdAgSe2
_symmetry_space_group_name_H-M 'R 3 m'
_symmetry_Int_Tables_number 160
_symmetry_space_group_name_Hall 'R 3 -2"'
_cell_length_a 4.1467
_cell_length_b 4.1467
_cell_length_c 20.7195
_cell_angle_alpha 90.00
_cell_angle_beta 90.00
_cell_angle_gamma 120.00
loop_
_atom_site_label
_atom_site_type_symbol
_atom_site_fract_x
_atom_site_fract_y
_atom_site_fract_z
Nd1 Nd 0.0000 0.0000 0.0000
Ag1 Ag 0.0000 0.0000 0.1690
Se1 Se 0.0000 0.0000 0.5791
Se2 Se 0.0000 0.0000 0.7531
```

***

Density functional theory data (PBE) for crystalline Nd6AgSe5 at its relaxed geometry.

Properties
formation energy without anion corrections: -1.58 eV per atom
D(E_F): 0.47 states/eV/atom
final energy: -5.6519 eV/atom

CIF file:
```
data_Nd6AgSe5
_symmetry_space_group_name_H-M 'C 1 2/m 1'
_symmetry_Int_Tables_number 12
_symmetry_space_group_name_Hall '-C 2y'
_cell_length_a 7.3591
_cell_length_b 12.7545
_cell_length_c 7.3574
_cell_angle_alpha 90.00
_cell_angle_beta 109.50
_cell_angle_gamma 90.00
loop_
_atom_site_label
_atom_site_type_symbol
_atom_site_fract_x
_atom_site_fract_y
_atom_site_fract_z
Nd1 Nd 0.2446 0.0000 0.2531
Nd2 Nd 0.2463 0.1706 0.7468
Ag1 Ag 0.0000 0.5000 0.0000
Se1 Se 0.0000 0.0000 0.5000
Se2 Se 0.0000 0.1658 0.0000
Se3 Se 0.0000 0.3343 0.5000
```

***

Density functional theory data (PBE) for crystalline Nd4AgSe3 at its relaxed geometry.

Properties
formation energy without anion corrections: -1.42 eV per atom
D(E_F): 0.71 states/eV/atom
final energy: -5.4682 eV/atom

CIF file:
```
data_Nd4AgSe3
_symmetry_space_group_name_H-M 'C m m m'
_symmetry_Int_Tables_number 65
_symmetry_space_group_name_Hall '-C 2 2'
_cell_length_a 8.5666
_cell_length_b 12.0770
_cell_length_c 4.2361
_cell_angle_alpha 90.00
_cell_angle_beta 90.00
_cell_angle_gamma 90.00
loop_
_atom_site_label
_atom_site_type_symbol
_atom_site_fract_x
_atom_site_fract_y
_atom_site_fract_z
Nd1 Nd 0.0000 0.2457 0.0000
Nd2 Nd 0.2432 0.0000 0.5000
Ag1 Ag 0.0000 0.5000 0.0000
Se1 Se 0.0000 0.0000 0.0000
Se2 Se 0.2500 0.2500 0.5000
```

***

Density functional theory data (PBE) for crystalline Nd8AgSe6 at its relaxed geometry.

Properties
formation energy without anion corrections: -1.29 eV per atom
D(E_F): 0.98 states/eV/atom
final energy: -5.4166 eV/atom

CIF file:
```
data_Nd8AgSe6
_symmetry_space_group_name_H-M 'P -3'
_symmetry_Int_Tables_number 147
_symmetry_space_group_name_Hall '-P 3'
_cell_length_a 10.8964
_cell_length_b 10.8964
_cell_length_c 4.2504
_cell_angle_alpha 90.00
_cell_angle_beta 90.00
_cell_angle_gamma 120.00
loop_
_atom_site_label
_atom_site_type_symbol
_atom_site_fract_x
_atom_site_fract_y
_atom_site_fract_z
Nd1 Nd 0.0355 0.3259 0.2507
Nd2 Nd 0.3333 0.6667 0.7496
Ag1 Ag 0.0000 0.0000 0.0000
Se1 Se 0.1315 0.6480 0.2495
```

***

Density functional theory data (PBE) for crystalline Nd5AgSe8 at its relaxed geometry.

Properties
formation energy without anion corrections: -1.68 eV per atom
final energy: -5.5822 eV/atom

CIF file:
```
data_Nd5AgSe8
_symmetry_space_group_name_H-M 'I -4'
_symmetry_Int_Tables_number 82
_symmetry_space_group_name_Hall 'I -4'
_cell_length_a 8.8970
_cell_length_b 8.8970
_cell_length_c 9.0267
_cell_angle_alpha 90.00
_cell_angle_beta 90.00
_cell_angle_gamma 90.00
loop_
_atom_site_label
_atom_site_type_symbol
_atom_site_fract_x
_atom_site_fract_y
_atom_site_fract_z
Nd1 Nd 0.0000 0.0000 0.0000
Nd2 Nd 0.1300 0.2483 0.3813
Ag1 Ag 0.0000 0.5000 0.7500
Se1 Se 0.0693 0.1810 0.7043
Se2 Se 0.0771 0.3186 0.0644
```

***

Density functional theory data (PBE) for crystalline Nd2AgSe3 at its relaxed geometry.

Properties
formation energy without anion corrections: -1.33 eV per atom
D(E_F): 0.27 states/eV/atom
final energy: -5.1354 eV/atom

CIF file:
```
data_Nd2AgSe3
_symmetry_space_group_name_H-M 'I m m m'
_symmetry_Int_Tables_number 71
_symmetry_space_group_name_Hall '-I 2 2'
_cell_length_a 3.8790
_cell_length_b 4.8556
_cell_length_c 16.5763
_cell_angle_alpha 90.00
_cell_angle_beta 90.00
_cell_angle_gamma 90.00
loop_
_atom_site_label
_atom_site_type_symbol
_atom_site_fract_x
_atom_site_fract_y
_atom_site_fract_z
Nd1 Nd 0.0000 0.0000 0.1421
Ag1 Ag 0.0000 0.0000 0.5000
Se1 Se 0.0000 0.0000 0.3224
Se2 Se 0.0000 0.5000 0.5000
```

***

Density functional theory data (PBE) for crystalline NdAgSe2 at its relaxed geometry.

Properties
formation energy without anion corrections: -1.14 eV per atom
D(E_F): 0.00 states/eV/atom
final energy: -4.7885 eV/atom

CIF file:
```
data_NdAgSe2
_symmetry_space_group_name_H-M 'R -3 m'
_symmetry_Int_Tables_number 166
_symmetry_space_group_name_Hall '-R 3 2"'
_cell_length_a 4.4362
_cell_length_b 4.4362
_cell_length_c 23.9847
_cell_angle_alpha 90.00
_cell_angle_beta 90.00
_cell_angle_gamma 120.00
loop_
_atom_site_label
_atom_site_type_symbol
_atom_site_fract_x
_atom_site_fract_y
_atom_site_fract_z
Nd1 Nd 0.0000 0.0000 0.0000
Ag1 Ag 0.0000 0.0000 0.5000
Se1 Se 0.0000 0.0000 0.3966
```

***

Density functional theory data (PBE) for crystalline Nd3AgSe at its relaxed geometry.

Properties
formation energy without anion corrections: -0.75 eV per atom
D(E_F): 1.01 states/eV/atom
final energy: -4.8807 eV/atom

CIF file:
```
data_Nd3AgSe
_symmetry_space_group_name_H-M 'P n m a'
_symmetry_Int_Tables_number 62
_symmetry_space_group_name_Hall '-P 2ac 2n'
_cell_length_a 9.2412
_cell_length_b 4.0576
_cell_length_c 16.0024
_cell_angle_alpha 90.00
_cell_angle_beta 90.00
_cell_angle_gamma 90.00
loop_
_atom_site_label
_atom_site_type_symbol
_atom_site_fract_x
_atom_site_fract_y
_atom_site_fract_z
Nd1 Nd 0.0162 0.2500 0.1078
Nd2 Nd 0.1520 0.2500 0.5518
Nd3 Nd 0.1781 0.7500 0.2865
Ag1 Ag 0.1004 0.7500 0.6970
Se1 Se 0.1909 0.2500 0.9525
```

***

Density functional theory data (PBE) for crystalline Nd3SiAgSe7 at its relaxed geometry.

Properties
formation energy without anion corrections: -1.34 eV per atom
final energy: -5.2550 eV/atom

CIF file:
```
data_Nd3SiAgSe7
_symmetry_space_group_name_H-M 'P 63'
_symmetry_Int_Tables_number 173
_symmetry_space_group_name_Hall 'P 6c'
_cell_length_a 10.7609
_cell_length_b 10.7609
_cell_length_c 6.0741
_cell_angle_alpha 90.00
_cell_angle_beta 90.00
_cell_angle_gamma 120.00
loop_
_atom_site_label
_atom_site_type_symbol
_atom_site_fract_x
_atom_site_fract_y
_atom_site_fract_z
Nd1 Nd 0.1261 0.7687 0.0000
Si1 Si 0.3333 0.6667 0.4108
Ag1 Ag 0.0000 0.0000 0.0458
Se1 Se 0.0953 0.8243 0.5161
Se2 Se 0.1087 0.5219 0.2591
Se3 Se 0.3333 0.6667 0.7850
```

***

| no. | spin magnetization (μB per formula unit) |
| --- | --- |
| 1 | 0.66 |
| 2 | 0.00 |
| 3 | 0.00 |
| 4 | 0.00 |
| 5 | 0.00 |
| 6 | 0.00 |
| 7 | 0.00 |
| 8 | 0.00 |
| 9 | 0.00 |
| 10 | 0.00 |
| 11 | 0.00 |
| 12 | 0.00 |
| 13 | 0.00 |
| 14 | 0.00 |
| 15 | 0.00 |
| 16 | 0.00 |
| 17 | 0.00 |
| 18 | 0.00 |
| 19 | 0.00 |